1 | LaP3Ir | PBE-GGA | optimized geometry

Structure (POSCAR):
```
LaP3Ir
1.0
5.2030 0.0000 0.0000
0.0000 5.2030 0.0000
0.0000 0.0000 5.2030
P Ir La
3 1 1
Direct
0.0000 0.5000 0.0000 P
0.0000 0.0000 0.5000 P
0.5000 0.0000 0.0000 P
0.5000 0.5000 0.5000 Ir
0.0000 0.0000 0.0000 La
```

Calculated values
Density of states at the Fermi level (states/eV/atom): 2.23


2 | LaP3Ir | PBE-GGA | optimized geometry

Structure (POSCAR):
```
LaP3Ir
1.0
-0.3046 -4.1040 -2.2961
0.7990 -2.3126 4.0276
-4.6343 -0.1290 0.8453
P Ir La
3 1 1
Direct
0.0000 0.5000 0.0000 P
0.0000 0.0000 0.5000 P
0.5000 0.0000 0.0000 P
0.0000 0.0000 0.0000 Ir
0.5000 0.5000 0.5000 La
```

Calculated values
Density of states at the Fermi level (states/eV/atom): 1.59


Most stable: 2 (next structure +2.051 eV/atom)


1 | LaPIr3 | PBE-GGA | optimized geometry

Structure (POSCAR):
```
LaPIr3
1.0
-2.3700 4.3224 -0.2822
-3.0971 -1.9158 -3.3344
-3.0284 -1.4235 3.6307
P Ir La
1 3 1
Direct
0.5000 0.5000 0.5000 P
0.0000 0.5000 0.0000 Ir
0.0000 0.0000 0.5000 Ir
0.5000 0.0000 0.0000 Ir
0.0000 0.0000 0.0000 La
```

Calculated values
Density of states at the Fermi level (states/eV/atom): 1.33


2 | LaPIr3 | PBE-GGA | optimized geometry

Structure (POSCAR):
```
LaPIr3
1.0
4.5557 0.0000 0.0000
0.0000 4.5557 0.0000
0.0000 0.0000 4.5557
P Ir La
1 3 1
Direct
0.0000 0.0000 0.0000 P
0.0000 0.5000 0.0000 Ir
0.0000 0.0000 0.5000 Ir
0.5000 0.0000 0.0000 Ir
0.5000 0.5000 0.5000 La
```

Calculated values
Density of states at the Fermi level (states/eV/atom): 1.93


Most stable: 2 (next structure +2.548 eV/atom)


1 | La2PIrS | PBE-GGA | optimized geometry

Structure (POSCAR):
```
La2PIrS
1.0
-2.3929 -1.7630 4.8069
1.6752 -3.9759 -0.6244
4.6366 1.5044 2.8599
P S Ir La
1 1 1 2
Direct
0.0000 0.5000 0.0000 P
0.5000 0.5000 0.5000 S
0.0000 0.0000 0.0000 Ir
0.0000 0.0000 0.5000 La
0.5000 0.0000 0.0000 La
```

Calculated values
Density of states at the Fermi level (states/eV/atom): 0.65


2 | La2PIrS | PBE-GGA | optimized geometry

Structure (POSCAR):
```
La2PIrS
1.0
5.4391 0.0000 0.0000
0.0000 4.2801 0.0000
0.0000 0.0000 5.4391
P S Ir La
1 1 1 2
Direct
0.0000 0.5000 0.0000 P
0.0000 0.0000 0.0000 S
0.5000 0.5000 0.5000 Ir
0.0000 0.0000 0.5000 La
0.5000 0.0000 0.0000 La
```

Calculated values
Density of states at the Fermi level (states/eV/atom): 0.42


Most stable: 1 (next structure +0.602 eV/atom)